# Be2NiSb PBEsol relaxed
data_Be2NiSb
_symmetry_space_group_name_H-M 'P 4/m m m'
_symmetry_Int_Tables_number 123
_symmetry_space_group_name_Hall '-P 4 2'
_cell_length_a 3.715
_cell_length_b 3.715
_cell_length_c 3.611
_cell_angle_alpha 90.00
_cell_angle_beta 90.00
_cell_angle_gamma 90.00
loop_
_atom_site_label
_atom_site_type_symbol
_atom_site_fract_x
_atom_site_fract_y
_atom_site_fract_z
_atom_site_occupancy
Be1 Be 0.000 0.500 0.000 1
Ni1 Ni 0.000 0.000 0.500 1
Sb1 Sb 0.500 0.500 0.500 1
# V: 12.46 Å³/atom
# raw formation energy: 0.197 eV/atom
# DOS at the Fermi energy: 0.3404 states/eV per atom
# crystal system: tetragonal

***

# Bi3O5 PBEsol relaxed
data_Bi3O5
_symmetry_space_group_name_H-M 'C 1 2/c 1'
_symmetry_Int_Tables_number 15
_cell_length_a 11.640
_cell_length_b 5.559
_cell_length_c 8.399
_cell_angle_alpha 90.00
_cell_angle_beta 111.23
_cell_angle_gamma 90.00
loop_
_symmetry_equiv_pos_as_xyz
'x,y,z'
'-x,-y,-z'
'-x,y,-z+1/2'
'x,-y,z+1/2'
'x+1/2,y+1/2,z'
'-x+1/2,-y+1/2,-z'
'-x+1/2,y+1/2,-z+1/2'
'x+1/2,-y+1/2,z+1/2'
loop_
_atom_site_label
_atom_site_type_symbol
_atom_site_fract_x
_atom_site_fract_y
_atom_site_fract_z
_atom_site_occupancy
Bi1 Bi 0.000 0.000 0.000 1
Bi2 Bi 0.179 0.500 0.338 1
O1 O 0.000 0.020 0.250 1
O2 O 0.164 0.255 0.079 1
O3 O 0.165 0.256 0.586 1
# V: 15.83 Å³/atom
# raw formation energy: -1.117 eV/atom
# DOS at the Fermi energy: 0.1324 states/eV per atom
# crystal system: monoclinic

***

# Ba2ZnTeO6 PBEsol relaxed
data_Ba2ZnTeO6
_symmetry_space_group_name_H-M 'F m -3 m'
_symmetry_Int_Tables_number 225
_symmetry_space_group_name_Hall '-F 4 2 3'
_cell_length_a 8.140
_cell_length_b 8.140
_cell_length_c 8.140
_cell_angle_alpha 90.00
_cell_angle_beta 90.00
_cell_angle_gamma 90.00
loop_
_atom_site_label
_atom_site_type_symbol
_atom_site_fract_x
_atom_site_fract_y
_atom_site_fract_z
_atom_site_occupancy
Ba1 Ba 0.250 0.250 0.250 1
Zn1 Zn 0.000 0.000 0.000 1
Te1 Te 0.000 0.000 0.500 1
O1 O 0.000 0.000 0.260 1
# V: 13.49 Å³/atom
# raw formation energy: -2.014 eV/atom
# crystal system: cubic

***

# P4WO12 PBEsol relaxed
data_P4WO12
_symmetry_space_group_name_H-M 'P 1 21 1'
_symmetry_Int_Tables_number 4
_cell_length_a 5.334
_cell_length_b 13.576
_cell_length_c 7.367
_cell_angle_alpha 90.00
_cell_angle_beta 100.37
_cell_angle_gamma 90.00
loop_
_symmetry_equiv_pos_as_xyz
'x,y,z'
'-x,y+1/2,-z'
loop_
_atom_site_label
_atom_site_type_symbol
_atom_site_fract_x
_atom_site_fract_y
_atom_site_fract_z
_atom_site_occupancy
P1 P 0.022 0.000 0.064 1
P2 P 0.025 0.225 0.077 1
P3 P 0.118 0.810 0.588 1
P4 P 0.214 0.456 0.624 1
W1 W 0.497 0.862 0.990 1
O1 O 0.033 0.979 0.275 1
O2 O 0.036 0.238 0.291 1
O3 O 0.043 0.613 0.964 1
O4 O 0.074 0.403 0.441 1
O5 O 0.157 0.762 0.418 1
O6 O 0.188 0.783 0.033 1
O7 O 0.196 0.446 0.053 1
O8 O 0.281 0.984 0.013 1
O9 O 0.288 0.242 0.030 1
O10 O 0.346 0.852 0.725 1
O11 O 0.350 0.545 0.589 1
O12 O 0.364 0.374 0.745 1
# V: 15.43 Å³/atom
# raw formation energy: -1.965 eV/atom
# DOS at the Fermi energy: 0.1966 states/eV per atom
# crystal system: monoclinic

***

# Y2Zn17 PBEsol relaxed
data_Y2Zn17
_symmetry_space_group_name_H-M 'R -3 m'
_symmetry_Int_Tables_number 166
_symmetry_space_group_name_Hall '-R 3 2"'
_cell_length_a 8.8038
_cell_length_b 8.8038
_cell_length_c 12.8755
_cell_angle_alpha 90.00
_cell_angle_beta 90.00
_cell_angle_gamma 120.00
loop_
_atom_site_label
_atom_site_type_symbol
_atom_site_fract_x
_atom_site_fract_y
_atom_site_fract_z
_atom_site_occupancy
Y1 Y 0.0000 0.0000 0.1643 1
Zn1 Zn 0.0000 0.0000 0.4004 1
Zn2 Zn 0.0000 0.2967 0.5000 1
Zn3 Zn 0.0000 0.5000 0.0000 1
Zn4 Zn 0.0084 0.5042 0.6526 1
# V: 15.16 Å³/atom
# energy relative to the elements: -26 kJ/mol of atoms
# DOS at the Fermi energy: 0.2368 states/eV per atom
# crystal system: trigonal

***

# Ba3Sn5 PBEsol relaxed
data_Ba3Sn5
_symmetry_space_group_name_H-M 'C m c m'
_symmetry_Int_Tables_number 63
_symmetry_space_group_name_Hall '-C 2c 2'
_cell_length_a 10.923
_cell_length_b 8.901
_cell_length_c 11.070
_cell_angle_alpha 90.00
_cell_angle_beta 90.00
_cell_angle_gamma 90.00
loop_
_atom_site_label
_atom_site_type_symbol
_atom_site_fract_x
_atom_site_fract_y
_atom_site_fract_z
_atom_site_occupancy
Ba1 Ba 0.000 0.148 0.250 1
Ba2 Ba 0.206 0.500 0.000 1
Sn1 Sn 0.000 0.194 0.560 1
Sn2 Sn 0.000 0.453 0.750 1
Sn3 Sn 0.194 0.212 0.750 1
# V: 33.63 Å³/atom
# energy relative to the elements: -64 kJ/mol of atoms
# DOS at the Fermi energy: 0.4943 states/eV per atom
# crystal system: orthorhombic